# Pr2SbTe, relaxed, DFT GGA-PBE
data_Pr2SbTe
_cell_length_a 4.5415
_cell_length_b 4.5415
_cell_length_c 22.3931
_cell_angle_alpha 90.00
_cell_angle_beta 90.00
_cell_angle_gamma 120.00
_space_group_name_H-M_alt 'P 1'
_space_group_IT_number 1
loop_
_space_group_symop_operation_xyz
'x,y,z'
loop_
_atom_site_label
_atom_site_fract_x
_atom_site_fract_y
_atom_site_fract_z
_atom_site_occupancy
Pr1 0.0000 0.0000 0.2466 1
Pr2 0.0000 0.0000 0.7534 1
Pr3 0.3333 0.6667 0.4200 1
Pr4 0.3333 0.6667 0.9133 1
Pr5 0.6667 0.3333 0.0867 1
Pr6 0.6667 0.3333 0.5800 1
Sb1 0.0000 0.0000 0.5000 1
Sb2 0.3333 0.6667 0.1667 1
Sb3 0.6667 0.3333 0.8333 1
Te1 0.0000 0.0000 0.0000 1
Te2 0.3333 0.6667 0.6667 1
Te3 0.6667 0.3333 0.3333 1
# Space-group type: R-3m, No. 166
# Size of the total moment in Bohr magnetons per cell: 0.00
# Formation energy from raw total energies in eV/atom: -1.359
# ΔE to the lowest computed polymorph in eV/atom: 0.001